# MgCo3O

Crystalline MgCo3O at its relaxed geometry (GGA+U, the Alexandria database).

abc: 4.4747 4.4747 4.4747
angles: 90.00 90.00 90.00
Closest atoms and distances in Å follow each position.
Fractional coordinates of all 5 atoms:
1 Mg 0.0000 0.0000 0.0000  6 Co 2.24
2 Co 0.0000 0.0000 0.5000  2 Mg 2.24
3 Co 0.0000 0.5000 0.0000  2 Mg 2.24
4 Co 0.5000 0.0000 0.0000  2 Mg 2.24
5 O 0.5000 0.5000 0.5000  12 Co 3.16

## Properties
As for the space group: Pm-3m, No. 221. The calculation puts the energy relative to the lowest polymorph listed for this composition at 1673.7 meV per atom. Its total energy is -12.18 eV per cell. As for the total magnetization: 6.449 μB per formula unit.